(1)
# Sm2CdCo2 GGA-PBE relaxed
# spin magnetization	0.3295	μB/atom
# ΔE_f	-0.217	eV per atom
# V	21.8	A^3/atom
data_Sm2CdCo2
_chemical_formula_sum 'Sm4 Cd2 Co4'
_cell_length_a 3.8944
_cell_length_b 13.8830
_cell_length_c 4.0298
_cell_angle_alpha 90.00
_cell_angle_beta 90.00
_cell_angle_gamma 90.00
_space_group_name_H-M_alt 'C m m m'
_space_group_IT_number 65
_space_group_name_Hall '-C 2 2'
loop_
_atom_site_label
_atom_site_fract_x
_atom_site_fract_y
_atom_site_fract_z
Sm1 0.0000 0.1361 0.0000
Cd1 0.0000 0.5000 0.5000
Co1 0.0000 0.2902 0.5000

=====

(2)
# Sm3CdCo GGA-PBE relaxed
# energy above the lowest structure with this stoichiometry	0	kJ/mol of formula units
# spin magnetization	0.0000	μB/atom
# ΔE_f	-0.156	eV per atom
# V	26.4	A^3/atom
data_Sm3CdCo
_chemical_formula_sum 'Sm12 Cd4 Co4'
_cell_length_a 10.1458
_cell_length_b 6.6299
_cell_length_c 9.0606
_cell_angle_alpha 90.00
_cell_angle_beta 120.06
_cell_angle_gamma 90.00
_space_group_name_H-M_alt 'C 1 2/m 1'
_space_group_IT_number 12
_space_group_name_Hall '-C 2y'
loop_
_atom_site_label
_atom_site_fract_x
_atom_site_fract_y
_atom_site_fract_z
Sm1 0.0585 0.0000 0.2429
Sm2 0.1877 0.5000 0.8949
Sm3 0.1984 0.5000 0.2931
Cd1 0.0000 0.2874 0.5000
Co1 0.0000 0.2843 0.0000

=====

(3)
# Sm7CdCo2 GGA-PBE relaxed
# spin magnetization	0.0000	μB/atom
# ΔE_f	0.036	eV per atom
# V	31.0	A^3/atom
data_Sm7CdCo2
_chemical_formula_sum 'Sm14 Cd2 Co4'
_cell_length_a 9.1199
_cell_length_b 13.5086
_cell_length_c 5.0394
_cell_angle_alpha 90.00
_cell_angle_beta 90.00
_cell_angle_gamma 90.00
_space_group_name_H-M_alt 'C m m m'
_space_group_IT_number 65
_space_group_name_Hall '-C 2 2'
loop_
_atom_site_label
_atom_site_fract_x
_atom_site_fract_y
_atom_site_fract_z
Sm1 0.0000 0.0000 0.0000
Sm2 0.0000 0.2038 0.5000
Sm3 0.1820 0.3686 0.0000
Cd1 0.0000 0.5000 0.5000
Co1 0.0000 0.2023 0.0000

=====

(4)
# Sm8Cd3Co2 GGA-PBE relaxed
# spin magnetization	0.0000	μB/atom
# ΔE_f	-0.075	eV per atom
# V	28.7	A^3/atom
data_Sm8Cd3Co2
_chemical_formula_sum 'Sm16 Cd6 Co4'
_cell_length_a 16.4630
_cell_length_b 7.2751
_cell_length_c 6.3278
_cell_angle_alpha 90.00
_cell_angle_beta 100.27
_cell_angle_gamma 90.00
_space_group_name_H-M_alt 'C 1 2/m 1'
_space_group_IT_number 12
_space_group_name_Hall '-C 2y'
loop_
_atom_site_label
_atom_site_fract_x
_atom_site_fract_y
_atom_site_fract_z
Sm1 0.0828 0.0000 0.2874
Sm2 0.1519 0.2488 0.8607
Sm3 0.1907 0.5000 0.3838
Cd1 0.0000 0.3160 0.5000
Cd2 0.0000 0.5000 0.0000
Co1 0.2300 0.0000 0.1767